# 1
A plane-wave DFT calculation with SCAN was carried out for La3Cl at its PBEsol-relaxed geometry.

Calculated values
ΔE_f (raw) (eV/atom): -0.8685
V (Å³ per atom): 30.12
Total magnetization (Bohr magnetons per cell): 0.00
DOS(E_F) (states/eV per cell): 1.94
E above lowest polymorph (meV per atom): 0.0
Calculated density (Mg/m³): 6.23

Cell: 3.705 3.705 10.356 Å, 79.69 79.69 60.00°
Sites, in units of the cell vectors:
1 La 0.739 0.739 0.784
2 La 0.500 0.500 0.500
3 La 0.261 0.261 0.216
4 Cl 0.000 0.000 0.000

***

# 2
A plane-wave DFT calculation with SCAN was carried out for La3Cl at its PBEsol-relaxed geometry.

Calculated values
ΔE_f (raw) (eV/atom): -0.7317
V (Å³ per atom): 28.61
Total magnetization (Bohr magnetons per cell): 0.00
DOS(E_F) (states/eV per cell): 4.55
E above lowest polymorph (meV per atom): 136.8
Calculated density (Mg/m³): 6.56

Cell: 3.672 6.081 6.081 Å, 64.46 72.42 72.42°
Sites, in units of the cell vectors:
1 Cl 0.000 0.926 0.074
2 La 0.500 0.573 0.427
3 La 0.699 0.968 0.633
4 La 0.301 0.367 0.032

***

# 3
A plane-wave DFT calculation with SCAN was carried out for Rb2LiLaCl6 at its PBEsol-relaxed geometry.

Calculated values
ΔE_f (raw) (eV/atom): -2.3472
V (Å³ per atom): 28.88
Total magnetization (Bohr magnetons per cell): 0.00
DOS(E_F) (states/eV per cell): 0.00
Calculated density (Mg/m³): 3.04

Cell: 7.420 7.420 7.420 Å, 60.00 60.00 60.00°
Sites, in units of the cell vectors:
1 Cl 0.240 0.240 0.760
2 Cl 0.240 0.760 0.760
3 Cl 0.240 0.760 0.240
4 Cl 0.760 0.760 0.240
5 Cl 0.760 0.240 0.240
6 Cl 0.760 0.240 0.760
7 Li 0.000 0.000 0.000
8 Rb 0.750 0.750 0.750
9 Rb 0.250 0.250 0.250
10 La 0.500 0.500 0.500

***

# 4
A plane-wave DFT calculation with SCAN was carried out for LaMg2Cl at its PBEsol-relaxed geometry.

Calculated values
ΔE_f (raw) (eV/atom): -0.6225
V (Å³ per atom): 25.58
Total magnetization (Bohr magnetons per cell): 0.00
DOS(E_F) (states/eV per cell): 2.80
E above lowest polymorph (meV per atom): 0.0
Calculated density (Mg/m³): 3.62

Cell: 4.113 4.113 6.710 Å, 107.85 107.85 90.00°
Sites, in units of the cell vectors:
1 Cl 0.500 0.500 0.000
2 La 0.000 0.000 0.000
3 Mg 0.750 0.250 0.500
4 Mg 0.250 0.750 0.500

***

# 5
A plane-wave DFT calculation with SCAN was carried out for LaMg2Cl at its PBEsol-relaxed geometry.

Calculated values
ΔE_f (raw) (eV/atom): -0.4702
V (Å³ per atom): 27.83
Total magnetization (Bohr magnetons per cell): 0.00
DOS(E_F) (states/eV per cell): 1.95
E above lowest polymorph (meV per atom): 152.2
Calculated density (Mg/m³): 3.33

Cell: 3.499 5.587 5.693 Å, 90.00 90.00 90.00°
Sites, in units of the cell vectors:
1 Cl 0.500 0.500 0.000
2 La 0.500 0.500 0.500
3 Mg 0.000 0.000 0.746
4 Mg 0.000 0.000 0.254

***

# 6
A plane-wave DFT calculation with SCAN was carried out for La2MgCl at its PBEsol-relaxed geometry.

Calculated values
ΔE_f (raw) (eV/atom): -0.6482
V (Å³ per atom): 28.08
Total magnetization (Bohr magnetons per cell): 0.00
DOS(E_F) (states/eV per cell): 2.80
E above lowest polymorph (meV per atom): 176.4
Calculated density (Mg/m³): 4.99

Cell: 3.506 3.506 10.250 Å, 90.00 90.00 116.95°
Sites, in units of the cell vectors:
1 Cl 0.500 0.500 0.264
2 La 0.000 0.000 0.032
3 La 0.500 0.500 0.738
4 Mg 0.000 0.000 0.466

***

# 7
A plane-wave DFT calculation with SCAN was carried out for La2MgCl at its PBEsol-relaxed geometry.

Calculated values
ΔE_f (raw) (eV/atom): -0.8246
V (Å³ per atom): 29.44
Total magnetization (Bohr magnetons per cell): 0.23
DOS(E_F) (states/eV per cell): 3.73
E above lowest polymorph (meV per atom): 0.0
Calculated density (Mg/m³): 4.76

Cell: 4.179 4.179 8.153 Å, 75.15 75.15 60.00°
Sites, in units of the cell vectors:
1 Cl 0.500 0.500 0.500
2 La 0.234 0.234 0.299
3 La 0.766 0.766 0.701
4 Mg 0.000 0.000 0.000

***

# 8
A plane-wave DFT calculation with SCAN was carried out for LaMg2Cl at its PBEsol-relaxed geometry.

Calculated values
ΔE_f (raw) (eV/atom): -0.5943
V (Å³ per atom): 25.77
Total magnetization (Bohr magnetons per cell): 0.07
DOS(E_F) (states/eV per cell): 2.39
E above lowest polymorph (meV per atom): 28.2
Calculated density (Mg/m³): 3.59

Cell: 3.368 5.406 6.322 Å, 108.55 90.00 108.15°
Sites, in units of the cell vectors:
1 Cl 0.530 0.060 0.452
2 La 0.778 0.556 0.315
3 Mg 0.973 0.947 0.939
4 Mg 0.219 0.438 0.794